(1)
Crystalline V2SbS2 at its relaxed geometry, computed with GGA-PBE.

Lattice parameters (Å, degrees): 3.8789 3.8789 6.2017 71.78 71.78 90.00
Last column: nearest neighbours and their distance in Å.
Sites, in units of the cell vectors:
V 0.6258 0.6258 0.7483  4 S 2.38
V 0.3742 0.3742 0.2517  4 S 2.38
S 0.7500 0.2500 0.5000  4 V 2.38
S 0.2500 0.7500 0.5000  4 V 2.38
Sb 0.0000 0.0000 0.0000  8 V 3.08, 8 S 3.39



(2)
Crystalline V2SbS2 at its relaxed geometry, computed with GGA-PBE.

Lattice parameters (Å, degrees): 7.2855 7.2855 3.0628 90.00 90.00 90.00
Last column: nearest neighbours and their distance in Å.
Sites, in units of the cell vectors:
V 0.8723 0.6277 0.0000  4 S 2.45, 1 V 2.63
V 0.6277 0.1277 0.0000  4 S 2.45, 1 V 2.63
V 0.1277 0.3723 0.0000  4 S 2.45, 1 V 2.63
V 0.3723 0.8723 0.0000  4 S 2.45, 1 V 2.63
Sb 0.0000 0.0000 0.0000  4 V 2.87, 2 Sb 3.06
Sb 0.5000 0.5000 0.0000  4 V 2.87, 2 Sb 3.06
S 0.1342 0.6342 0.5000  4 V 2.45
S 0.3658 0.1342 0.5000  4 V 2.45
S 0.6342 0.8658 0.5000  4 V 2.45
S 0.8658 0.3658 0.5000  4 V 2.45



Order from most stable to least stable according to the calculation: (2), (1)